VASP calculation (PBE-GGA) on a geometry-optimized RbSrY2Sb structure.

Summary:
* energy relative to the elements, uncorrected: 540 kJ/mol of formula units
* total magnetization: 0.00 μB/f.u.

abc: 5.5342 5.5342 5.7755
angles: 90.00 90.00 90.00
Space group P4/mmm (No. 123)
Unique sites:
Rb (0.0000, 0.0000, 0.0000)
Sr (0.0000, 0.0000, 0.5000)
Y (0.0000, 0.5000, 0.0000)
Sb (0.5000, 0.5000, 0.5000)